Record 1
# LiMg3Ag4

Crystalline LiMg3Ag4 at its relaxed geometry (GGA-PBE, Alexandria).

Results
Density of states at the Fermi level, states/eV/atom: 0.213
Crystal system: monoclinic
Energy relative to the elements, eV per atom: -0.17
Excess energy over the best structure of this formula in the dataset, meV per atom: 68

Cell and atoms, written as POSCAR:
```
LiMg3Ag4
1.0
-1.782 1.926 -3.284
2.796 -1.563 -2.434
-2.778 -8.695 -0.901
Ag Mg Li
4 3 1
Direct
0.620 0.380 0.240
0.380 0.620 0.760
0.252 0.248 0.504
0.748 0.752 0.496
0.000 0.500 0.000
0.135 0.866 0.269
0.865 0.134 0.731
0.500 0.000 0.000
```

=====

Record 2
# Y2ZnFe3Ni12

Crystalline Y2ZnFe3Ni12 at its relaxed geometry (GGA-PBE, Alexandria).

Results
Density of states at the Fermi level, states/eV/atom: 1.215
Crystal system: trigonal
Energy relative to the elements, eV per atom: 0.06

Cell and atoms, written as POSCAR:
```
Y2ZnFe3Ni12
1.0
6.051 -1.308 -0.928
1.851 5.907 -0.928
1.851 1.077 5.882
Ni Zn Fe Y
12 1 3 2
Direct
0.581 0.581 0.147
0.276 0.802 0.802
0.198 0.724 0.198
0.147 0.581 0.581
0.724 0.198 0.198
0.419 0.419 0.853
0.802 0.276 0.802
0.581 0.147 0.581
0.802 0.802 0.276
0.853 0.419 0.419
0.419 0.853 0.419
0.198 0.198 0.724
0.000 0.000 0.000
0.500 0.000 0.000
0.000 0.000 0.500
0.000 0.500 0.000
0.718 0.718 0.718
0.282 0.282 0.282
```

=====

Record 3
# Li2Sm3Al7

Crystalline Li2Sm3Al7 at its relaxed geometry (GGA-PBE, Alexandria).

Results
Density of states at the Fermi level, states/eV/atom: 0.574
Crystal system: trigonal
Energy relative to the elements, eV per atom: -0.41

Cell and atoms, written as POSCAR:
```
Li2Sm3Al7
1.0
-4.846 0.498 2.787
-0.013 0.091 5.611
-0.804 8.926 2.659
Sm Li Al
3 2 7
Direct
0.141 0.141 0.578
0.859 0.859 0.422
0.000 0.000 0.000
0.665 0.665 0.006
0.335 0.335 0.994
0.585 0.076 0.754
0.076 0.585 0.754
0.585 0.585 0.754
0.500 0.500 0.500
0.415 0.924 0.246
0.924 0.415 0.246
0.415 0.415 0.246
```

=====

Record 4
# AlOsRu2

Crystalline AlOsRu2 at its relaxed geometry (GGA-PBE, Alexandria).

Results
Density of states at the Fermi level, states/eV/atom: 1.192
Crystal system: orthorhombic
Energy relative to the elements, eV per atom: 0.21

Cell and atoms, written as POSCAR:
```
AlOsRu2
1.0
-2.180 1.536 0.560
0.051 -2.512 1.055
3.980 3.062 7.099
Al Os Ru
1 1 2
Direct
0.000 0.000 0.497
0.500 0.500 0.742
0.000 0.000 0.001
0.500 0.500 0.260
```

=====

Record 5
# KLi2Os

Crystalline KLi2Os at its relaxed geometry (GGA-PBE, Alexandria).

Results
Density of states at the Fermi level, states/eV/atom: 1.575
Crystal system: cubic
Energy relative to the elements, eV per atom: 1.20
Excess energy over the best structure of this formula in the dataset, meV per atom: 636

Cell and atoms, written as POSCAR:
```
KLi2Os
1.0
-1.207 -4.678 -0.910
2.756 -3.646 1.810
-1.743 -2.837 3.616
Li Os K
2 1 1
Direct
0.250 0.250 0.250
0.000 0.000 0.000
0.750 0.750 0.750
0.500 0.500 0.500
```

=====

Record 6
# CaPrNd

Crystalline CaPrNd at its relaxed geometry (GGA-PBE, Alexandria).

Results
Density of states at the Fermi level, states/eV/atom: 1.369
Crystal system: tetragonal
Energy relative to the elements, eV per atom: 0.23
Excess energy over the best structure of this formula in the dataset, meV per atom: 207

Cell and atoms, written as POSCAR:
```
CaPrNd
1.0
-4.352 -0.874 2.363
-1.653 -2.568 -3.995
3.435 -7.651 3.497
Nd Ca Pr
2 2 2
Direct
0.000 0.500 0.717
0.500 0.000 0.283
0.000 0.500 0.324
0.500 0.000 0.676
0.000 0.000 0.000
0.500 0.500 0.000
```

=====

Record 7
# Ba2NaPb2

Crystalline Ba2NaPb2 at its relaxed geometry (GGA-PBE, Alexandria).

Results
Density of states at the Fermi level, states/eV/atom: 0.614
Crystal system: tetragonal
Energy relative to the elements, eV per atom: -0.28
Excess energy over the best structure of this formula in the dataset, meV per atom: 157

Cell and atoms, written as POSCAR:
```
Ba2NaPb2
1.0
-2.936 -8.397 -5.687
7.587 2.111 -7.034
2.386 -2.142 1.931
Ba Pb Na
4 4 2
Direct
0.872 0.628 0.000
0.372 0.872 0.000
0.128 0.372 0.000
0.628 0.128 0.000
0.329 0.171 0.500
0.829 0.329 0.500
0.171 0.671 0.500
0.671 0.829 0.500
0.500 0.500 0.000
0.000 0.000 0.000
```

=====

Record 8
# SbPd4Se

Crystalline SbPd4Se at its relaxed geometry (GGA-PBE, Alexandria).

Results
Density of states at the Fermi level, states/eV/atom: 0.502
Crystal system: monoclinic
ΔE_f (raw), meV/atom: -275
Excess energy over the best structure of this formula in the dataset, meV per atom: 0

Cell and atoms, written as POSCAR:
```
SbPd4Se
1.0
6.288 -0.149 -0.901
-1.347 5.438 -2.361
-0.261 0.359 6.063
Sb Pd Se
2 8 2
Direct
0.750 0.627 0.373
0.250 0.373 0.627
0.903 0.081 0.694
0.934 0.592 0.797
0.403 0.694 0.081
0.434 0.797 0.592
0.566 0.203 0.408
0.066 0.408 0.203
0.097 0.919 0.306
0.597 0.306 0.919
0.750 0.969 0.031
0.250 0.031 0.969
```

=====

Record 9
# CsY3Hf

Crystalline CsY3Hf at its relaxed geometry (GGA-PBE, Alexandria).

Results
Density of states at the Fermi level, states/eV/atom: 1.504
Crystal system: cubic
Energy relative to the elements, eV per atom: 1.49
Excess energy over the best structure of this formula in the dataset, meV per atom: 757

Cell and atoms, written as POSCAR:
```
CsY3Hf
1.0
5.527 0.000 0.000
0.000 5.527 0.000
0.000 0.000 5.527
Y Hf Cs
3 1 1
Direct
0.500 0.000 0.000
0.000 0.500 0.000
0.000 0.000 0.500
0.500 0.500 0.500
0.000 0.000 0.000
```

=====

Record 10
# ScMn2Ru

Crystalline ScMn2Ru at its relaxed geometry (GGA-PBE, Alexandria).

Results
Density of states at the Fermi level, states/eV/atom: 1.172
Crystal system: trigonal
Energy relative to the elements, eV per atom: 0.32
Excess energy over the best structure of this formula in the dataset, meV per atom: 386

Cell and atoms, written as POSCAR:
```
ScMn2Ru
1.0
8.902 -0.004 -0.003
8.456 2.784 -0.003
8.456 1.354 2.432
Sc Mn Ru
1 2 1
Direct
0.750 0.750 0.750
0.506 0.506 0.506
0.994 0.994 0.994
0.250 0.250 0.250
```

=====

Record 11
# Li2NiSe

Crystalline Li2NiSe at its relaxed geometry (GGA-PBE, Alexandria).

Results
Density of states at the Fermi level, states/eV/atom: 0.264
Crystal system: tetragonal
ΔE_f (raw), meV/atom: -244

Cell and atoms, written as POSCAR:
```
Li2NiSe
1.0
-3.661 0.472 0.027
-0.092 -0.507 -3.655
-2.961 -8.506 -0.610
Li Se Ni
4 2 2
Direct
0.634 0.125 0.250
0.375 0.366 0.750
0.875 0.884 0.750
0.116 0.625 0.250
0.750 0.250 0.500
0.000 0.000 0.000
0.250 0.750 0.500
0.500 0.500 0.000
```

=====

Record 12
# RbCdPb3

Crystalline RbCdPb3 at its relaxed geometry (GGA-PBE, Alexandria).

Results
Density of states at the Fermi level, states/eV/atom: 0.605
Crystal system: orthorhombic
Energy relative to the elements, eV per atom: -0.09
Excess energy over the best structure of this formula in the dataset, meV per atom: 0

Cell and atoms, written as POSCAR:
```
RbCdPb3
1.0
-5.125 0.878 -1.152
-1.425 -2.244 4.629
-2.942 4.968 4.576
Pb Cd Rb
3 1 1
Direct
0.789 0.592 0.128
0.147 0.450 0.412
0.647 0.951 0.411
0.025 0.828 0.656
0.401 0.204 0.904
```